{
  "formula": "CsLiNpTe3",
  "functional": "PBE",
  "state": "optimized geometry",
  "e_form_raw_ev_per_atom": -0.89,
  "e_tot_ev_per_cell": -60.98,
  "spacegroup": "No. 11",
  "cell": [[10.138, 0.000, 0.000], [0.000, 4.574, 0.000], [-3.852, 0.000, 10.103]],
  "species": ["Cs", "Cs", "Li", "Li", "Np", "Np", "Te", "Te", "Te", "Te", "Te", "Te"],
  "fractional_positions": [[0.216, 0.250, 0.260], [0.784, 0.750, 0.740], [0.081, 0.250, 0.599], [0.919, 0.750, 0.401], [0.321, 0.750, 0.849], [0.679, 0.250, 0.151], [0.129, 0.250, 0.870], [0.211, 0.750, 0.554], [0.474, 0.750, 0.152], [0.526, 0.250, 0.848], [0.789, 0.250, 0.446], [0.871, 0.750, 0.130]]
}